# MnTePb2

An optimized crystal structure of MnTePb2 (PBE-GGA, Alexandria).

```
MnTePb2
1.0
-1.1277 -2.6188 3.1511
5.1412 -2.3094 -0.0794
5.4456 1.6355 3.3081
Mn Pb Te
1 2 1
direct
0.5000 0.7500 0.7500
0.0000 0.8642 0.9625
0.0000 0.6358 0.5375
0.5000 0.2500 0.2500
```

Calculated values
As for the size of the total moment: 3.23 μB/f.u. The formation energy from raw total energies comes out at 82 kJ/mol of formula units.

=====

# CaGa2PdS

An optimized crystal structure of CaGa2PdS (PBE-GGA, Alexandria).

```
CaGa2PdS
1.0
5.1330 0.0000 0.0000
0.0000 4.5220 0.0000
0.0000 0.0000 5.1330
S Ca Ga Pd
1 1 2 1
direct
0.0000 0.0000 0.0000
0.5000 0.5000 0.5000
0.0000 0.0000 0.5000
0.5000 0.0000 0.0000
0.0000 0.5000 0.0000
```

Calculated values
As for the size of the total moment: 0.00 μB/f.u. The formation energy from raw total energies comes out at -59 kJ/mol of formula units.

=====

# PSe3

An optimized crystal structure of PSe3 (PBE-GGA, Alexandria).

```
PSe3
1.0
-1.7021 3.4926 4.6106
1.7021 -3.4926 4.6106
1.7021 3.4926 -4.6106
P Se
1 3
direct
0.9739 0.9739 0.0000
0.4541 0.9541 0.5000
0.6445 0.3693 0.2752
0.0941 0.3693 0.7248
```

Calculated values
As for the size of the total moment: 0.00 μB/f.u. The formation energy from raw total energies comes out at 106 kJ/mol of formula units. The relative energy among the computed polymorphs is 0.048 eV per atom.

=====

What calculated total energy values result from the calculations? In sequence: -4.72 -3.60 -3.69 eV per atom.